(1)
First-principles (PBE) data for a geometry-optimized AlW structure, as listed in Alexandria via LeMat-Bulk.

Cell and atoms, written as POSCAR:
```
AlW
1.0
4.5079 0.0000 0.0000
0.0000 2.7381 -0.0236
0.0000 -0.5902 5.0018
W Al
2 2
Cartesian
1.1270 1.3936 1.8108
3.3809 0.7542 3.1674
3.3809 2.5561 0.6537
1.1270 -0.4083 4.3245
```

For the spin magnetization, the calculation gives 0.00 μB/cell. As for the energy of formation: -0.03 eV per atom.


(2)
First-principles (PBE) data for a geometry-optimized Al13W2 structure, as listed in Alexandria via LeMat-Bulk.

Cell and atoms, written as POSCAR:
```
Al13W2
1.0
5.3472 0.0506 0.5939
-0.6132 7.1418 -0.1119
0.2075 -3.6351 6.4455
W Al
2 13
Cartesian
1.2618 0.0020 2.3541
3.6795 3.5553 4.5734
2.0350 2.2772 6.4823
2.0636 2.6836 2.5630
4.9325 -1.0387 4.8894
4.7711 2.0184 2.5001
2.8778 0.8737 4.3644
0.1703 1.5388 4.4274
0.0089 4.5960 2.0380
2.9064 1.2800 0.4451
1.2737 -0.3769 6.3763
0.0000 0.0000 0.0000
3.6676 3.9341 0.5511
3.0396 5.9238 2.4767
1.9017 -2.3665 4.4508
```

For the spin magnetization, the calculation gives 0.00 μB/cell. As for the energy of formation: -0.03 eV per atom.


(3)
First-principles (PBE) data for a geometry-optimized AlW structure, as listed in Alexandria via LeMat-Bulk.

Cell and atoms, written as POSCAR:
```
AlW
1.0
4.8187 0.0015 0.0009
3.9840 2.7106 0.0009
3.9840 1.2275 2.4167
Al W
1 1
Cartesian
0.0000 0.0000 0.0000
6.3933 1.9698 1.2093
```

For the spin magnetization, the calculation gives 0.00 μB/cell. As for the energy of formation: 0.08 eV per atom.


no.,E (eV/atom)
1,-8.373
2,-5.003
3,-8.264